Ac2VRuO6 | PBE with a Hubbard U | optimized geometry

The total energy comes out at -7.868 eV/atom. For the magnetization, the calculation gives 2.0 Bohr magnetons per cell.

The space group is I4/mmm (No. 139) and the conventional cell measures 5.6618, 5.6618 and 8.1349 Å, with angles of 90.00, 90.00 and 90.00 degrees. The distinct sites, in fractional coordinates, are Ac at (0.0000, 0.5000, 0.2500), V at (0.0000, 0.0000, 0.0000), Ru at (0.0000, 0.0000, 0.5000), O at (0.0000, 0.0000, 0.2500) and O at (0.2461, 0.2461, 0.0000).